Ca3Co2Te2O12: optimized geometry, PBE with a Hubbard U.

Cell: 5.4031 5.5107 7.8435 Å, 90.59 90.91 92.29°
Last column: nearest neighbours and their distance in Å.
Element x y z (fractional)
O 0.1997 0.2255 0.9515  1 Te 1.96, 1 Co 2.16
O 0.7981 0.8112 0.4668  1 Te 1.94, 1 Co 2.04
O 0.2903 0.7208 0.9463  1 Co 1.92, 1 Te 1.99
O 0.7192 0.2828 0.4613  1 Co 1.85, 1 Te 2.01
O 0.0868 0.4744 0.2422  1 Te 1.92, 1 Co 1.99
O 0.4077 0.9745 0.2579  1 Te 1.92, 1 Co 1.99
O 0.7102 0.2784 0.0365  1 Co 1.89, 1 Te 1.98
O 0.9087 0.5206 0.7632  1 Te 1.96
O 0.2201 0.1949 0.5409  1 Te 1.96, 1 Co 2.18
O 0.8214 0.7995 0.0370  1 Te 1.94, 1 Co 2.08
O 0.2809 0.7065 0.5546  1 Te 1.96, 1 Co 1.98
O 0.5808 0.0217 0.7381  1 Te 1.95
Te 0.4973 0.9864 0.4955  6 O 1.92-2.01
Te 0.0000 0.5050 0.0059  6 O 1.92-1.99
Co 0.5020 0.9946 0.0146  4 O 1.89-2.08
Co 0.9886 0.5004 0.4843  4 O 1.85-2.04
Ca 0.0056 0.9548 0.7491  8 O 2.34-2.62
Ca 0.4797 0.4467 0.7520  6 O 2.34-2.52
Ca 0.9899 0.0498 0.2535  5 O 2.31-2.57

Values from the calculation:
E_tot (hartree per atom): -0.2191
ρ (g/cm3): 4.9